1.
A plane-wave DFT calculation with GGA-PBE was carried out for a relaxed structure of BeFeB3.

uncorrected energy	-26.9	eV for the cell shown
E_form	1067	meV/atom
ΔE to the lowest computed polymorph	0	meV per atom

a b c (Å): 3.7173 3.7173 3.7173
angles (deg): 90.00 90.00 90.00
Fractional coordinates of all 5 atoms:
1 B 0.5000 0.0000 0.0000
2 B 0.0000 0.0000 0.5000
3 Be 0.5000 0.5000 0.5000
4 B 0.0000 0.5000 0.0000
5 Fe 0.0000 0.0000 0.0000

***

2.
A plane-wave DFT calculation with GGA-PBE was carried out for a relaxed structure of FeCo3.

uncorrected energy	-59.4	eV for the cell shown
E_form	26	meV/atom

a b c (Å): 2.8316 2.8316 11.2857
angles (deg): 90.00 90.00 90.00
Each line ends with the local moment (μB).
Fractional coordinates of all 8 atoms:
1 Co 0.0000 0.0000 0.2500  1.82
2 Fe 0.5000 0.5000 0.6227  2.80
3 Co 0.0000 0.0000 0.7500  1.75
4 Fe 0.5000 0.5000 0.8773  2.80
5 Co 0.5000 0.5000 0.3719  1.80
6 Co 0.5000 0.5000 0.1281  1.80
7 Co 0.0000 0.0000 0.0004  1.78
8 Co 0.0000 0.0000 0.4996  1.78

***

3.
A plane-wave DFT calculation with GGA-PBE was carried out for a relaxed structure of Er7Ga2Au2.

uncorrected energy	-48.0	eV for the cell shown
E_form	-312	meV/atom

a b c (Å): 6.6530 7.2113 6.6530
angles (deg): 90.00 108.76 90.00
Fractional coordinates of all 11 atoms:
1 Er 0.0000 0.0000 0.0000
2 Au 0.7077 0.0000 0.2923
3 Er 0.0000 0.7249 0.5001
4 Er 0.4999 0.7249 0.0000
5 Er 0.5001 0.2633 0.4999
6 Er 0.5001 0.2751 0.0000
7 Au 0.2923 0.0000 0.7077
8 Ga 0.8315 0.5000 0.8315
9 Ga 0.1685 0.5000 0.1685
10 Er 0.4999 0.7367 0.5001
11 Er 0.0000 0.2751 0.4999

***

The records above yield N(E_F) values of 1.21, 5.03, 11.54 states/eV/f.u., respectively.